Here is an optimized crystal structure of Pr2CuRu from the Alexandria database. Energies are from PBE-GGA.

Lattice parameters (Å, degrees): 5.052 5.052 5.055 119.92 119.92 89.99
Element x y z (fractional)
Pr: 0.250 0.750 0.000
Pr: 0.750 0.250 0.000
Cu: 0.000 0.000 0.500
Ru: 0.500 0.500 0.500

## Properties
- crystal system = monoclinic
- space-group type = C2/m
- formation energy (eV per atom) = -0.134


Here is an optimized crystal structure of Hf2SbCN from the Alexandria database. Energies are from PBE-GGA.

Lattice parameters (Å, degrees): 5.277 5.277 4.002 90.00 90.00 90.00
Element x y z (fractional)
Hf: 0.000 0.500 0.000
Hf: 0.500 0.000 0.000
Sb: 0.000 0.000 0.000
C: 0.000 0.000 0.500
N: 0.500 0.500 0.500

## Properties
- crystal system = tetragonal
- space-group type = P4/mmm
- uncorrected formation energy (meV/atom) = 2401.5